No. 1
The following is a meta-GGA SCAN calculation of Mn3Cu3O8 at its PBEsol-relaxed geometry, from Alexandria via LeMat-Bulk.

## Properties
Formation energy without anion corrections in eV/atom: -1.60
Theoretical density in g cm⁻³: 5.84

Unit cell a=8.1901 b=8.1901 c=8.1901 alpha=90.00 beta=90.00 gamma=90.00
Space group P4_332 (No. 212)
Unique sites:
Mn 0.1193 0.1307 0.6250
Cu 0.0080 0.0080 0.0080
Cu 0.1250 0.8750 0.3750
O 0.0993 0.1265 0.3927
O 0.1171 0.6171 0.8829

No. 2
The following is a meta-GGA SCAN calculation of Mn4Cu3O12 at its PBEsol-relaxed geometry, from Alexandria via LeMat-Bulk.

## Properties
Formation energy without anion corrections in eV/atom: -1.56
Theoretical density in g cm⁻³: 5.71

Unit cell a=7.0506 b=7.0506 c=7.0506 alpha=90.00 beta=90.00 gamma=90.00
Space group Im-3 (No. 204)
Unique sites:
Mn 0.2500 0.2500 0.2500
Cu 0.0000 0.0000 0.5000
O 0.0000 0.3098 0.1840

No. 3
The following is a meta-GGA SCAN calculation of Mn4CuO8 at its PBEsol-relaxed geometry, from Alexandria via LeMat-Bulk.

## Properties
Formation energy without anion corrections in eV/atom: -1.79
Theoretical density in g cm⁻³: 5.10

Unit cell a=9.9069 b=5.6580 c=5.7038 alpha=90.00 beta=123.08 gamma=90.00
Space group C2/m (No. 12)
Unique sites:
Mn 0.0000 0.0000 0.0000
Mn 0.0000 0.5000 0.5000
Mn 0.2500 0.2500 0.0000
Cu 0.0000 0.0000 0.5000
O 0.0209 0.2459 0.7708
O 0.2431 0.0000 0.2203
O 0.2428 0.0000 0.7807

No. 4
The following is a meta-GGA SCAN calculation of MnCuO2 at its PBEsol-relaxed geometry, from Alexandria via LeMat-Bulk.

## Properties
Formation energy without anion corrections in eV/atom: -1.40
Theoretical density in g cm⁻³: 5.56

Unit cell a=5.5040 b=2.8782 c=5.8419 alpha=90.00 beta=103.75 gamma=90.00
Space group C2/m (No. 12)
Unique sites:
Mn 0.0000 0.0000 0.0000
Cu 0.0000 0.5000 0.5000
O 0.0971 0.5000 0.8199

No. 5
The following is a meta-GGA SCAN calculation of Mn3Cu2O8 at its PBEsol-relaxed geometry, from Alexandria via LeMat-Bulk.

## Properties
Formation energy without anion corrections in eV/atom: -1.70
Theoretical density in g cm⁻³: 5.49

Unit cell a=9.3984 b=5.6245 c=4.8679 alpha=90.00 beta=99.12 gamma=90.00
Space group C2/m (No. 12)
Unique sites:
Mn 0.0000 0.0000 0.0000
Mn 0.0000 0.2574 0.5000
Cu 0.2097 0.5000 0.0693
O 0.1032 0.0000 0.3593
O 0.1091 0.5000 0.3922
O 0.1174 0.2297 0.8556

No. 6
The following is a meta-GGA SCAN calculation of MnCuP2O8 at its PBEsol-relaxed geometry, from Alexandria via LeMat-Bulk.

## Properties
Formation energy without anion corrections in eV/atom: -2.02
Theoretical density in g cm⁻³: 3.74
E above lowest polymorph in meV/atom: 27

Unit cell a=8.3745 b=8.3745 c=20.3076 alpha=90.00 beta=90.00 gamma=120.00
Space group R3 (No. 146, hexagonal axes)
Unique sites:
Mn 0.0000 0.0000 0.0000
Mn 0.0000 0.0000 0.2190
Mn 0.0000 0.0000 0.5005
Cu 0.0000 0.0000 0.3584
Cu 0.0000 0.0000 0.7188
Cu 0.0000 0.0000 0.8591
P 0.0011 0.2908 0.6105
P 0.0018 0.7135 0.1105
O 0.0009 0.1885 0.5478
O 0.0093 0.8149 0.0466
O 0.0237 0.8270 0.1721
O 0.0390 0.8441 0.7864
O 0.1388 0.4570 0.3412
O 0.1623 0.4924 0.9460
O 0.1704 0.6818 0.1041
O 0.1837 0.4815 0.6035

No. 7
The following is a meta-GGA SCAN calculation of MnCuP2O8 at its PBEsol-relaxed geometry, from Alexandria via LeMat-Bulk.

## Properties
Formation energy without anion corrections in eV/atom: -2.05
Theoretical density in g cm⁻³: 3.98
E above lowest polymorph in meV/atom: 0

Unit cell a=4.7076 b=5.6893 c=9.6084 alpha=90.00 beta=91.59 gamma=90.00
Space group P2_1/m (No. 11)
Unique sites:
Mn 0.0498 0.2500 0.2769
Cu 0.4193 0.2500 0.7753
P 0.0974 0.7500 0.4120
P 0.3898 0.7500 0.9051
O 0.1795 0.7500 0.5693
O 0.2163 0.5465 0.8290
O 0.2250 0.2500 0.6034
O 0.2396 0.5327 0.3401
O 0.2947 0.2500 0.1271
O 0.3496 0.7500 0.0603

No. 8
The following is a meta-GGA SCAN calculation of Mn7CuP12O48 at its PBEsol-relaxed geometry, from Alexandria via LeMat-Bulk.

## Properties
Formation energy without anion corrections in eV/atom: -2.06
Theoretical density in g cm⁻³: 3.44

Unit cell a=8.0792 b=8.3532 c=11.3520 alpha=90.17 beta=90.72 gamma=90.13
Space group P1 (No. 1)
Unique sites:
Mn 0.0000 0.0000 0.0000
Mn 0.0017 0.4998 0.2615
Mn 0.0033 0.4394 0.7666
Mn 0.4970 0.4388 0.4997
Mn 0.5011 0.9404 0.7614
Mn 0.5036 0.0005 0.2655
Mn 0.9946 0.9385 0.4956
Cu 0.4961 0.5000 0.9958
P 0.1388 0.8532 0.2392
P 0.1437 0.5887 0.5293
P 0.2187 0.7209 0.8898
P 0.2840 0.2213 0.8719
P 0.3563 0.3511 0.2320
P 0.3606 0.0855 0.5226
P 0.6366 0.5842 0.7400
P 0.6427 0.8503 0.0282
P 0.7161 0.7189 0.3903
P 0.7824 0.2193 0.3704
P 0.8560 0.0887 0.7329
P 0.8596 0.3523 0.0227
O 0.0155 0.8983 0.3370
O 0.0225 0.4933 0.6063
O 0.0653 0.8017 0.9437
O 0.0894 0.6849 0.1960
O 0.1154 0.5452 0.3994
O 0.1186 0.9711 0.1365
O 0.1295 0.7720 0.5446
O 0.1556 0.5989 0.7984
O 0.1762 0.3906 0.1973
O 0.1787 0.0789 0.4812
O 0.1817 0.2943 0.7688
O 0.1842 0.0938 0.9396
O 0.3148 0.6523 0.9968
O 0.3148 0.8452 0.8185
O 0.3198 0.8603 0.2822
O 0.3229 0.5472 0.5651
O 0.3354 0.3354 0.9723
O 0.3694 0.1673 0.2174
O 0.3823 0.3923 0.3634
O 0.3842 0.9655 0.6233
O 0.4095 0.2539 0.5662
O 0.4343 0.1397 0.8171
O 0.4816 0.4524 0.1639
O 0.4832 0.0437 0.4235
O 0.5084 0.5275 0.8307
O 0.5203 0.9416 0.1072
O 0.5633 0.6353 0.4407
O 0.5890 0.7537 0.6990
O 0.6103 0.9002 0.9007
O 0.6188 0.4691 0.6340
O 0.6458 0.6664 0.0405
O 0.6558 0.8426 0.2999
O 0.6771 0.0470 0.6967
O 0.6778 0.3432 0.9839
O 0.6796 0.3411 0.4398
O 0.6827 0.1458 0.2659
O 0.8168 0.7917 0.4948
O 0.8185 0.5798 0.7812
O 0.8183 0.5971 0.3206
O 0.8206 0.8981 0.0659
O 0.8429 0.0969 0.4621
O 0.8694 0.2718 0.7174
O 0.8820 0.4709 0.1251
O 0.8869 0.0438 0.8619
O 0.9180 0.1860 0.0655
O 0.9349 0.3030 0.3201
O 0.9766 0.9934 0.6551
O 0.9812 0.4017 0.9246

No. 9
The following is a meta-GGA SCAN calculation of Mn2CuP3O12 at its PBEsol-relaxed geometry, from Alexandria via LeMat-Bulk.

## Properties
Formation energy without anion corrections in eV/atom: -2.13
Theoretical density in g cm⁻³: 3.67

Unit cell a=8.3854 b=8.3854 c=20.4326 alpha=90.00 beta=90.00 gamma=120.00
Space group R-3c (No. 167, hexagonal axes)
Unique sites:
Mn 0.0000 0.0000 0.1403
Cu 0.0000 0.0000 0.0000
P 0.0000 0.2879 0.2500
O 0.0035 0.1913 0.1872
O 0.0236 0.1836 0.9217

No. 10
The following is a meta-GGA SCAN calculation of Sr3Mn2Cu2S2O5 at its PBEsol-relaxed geometry, from Alexandria via LeMat-Bulk.

## Properties
Formation energy without anion corrections in eV/atom: -2.13
Theoretical density in g cm⁻³: 5.49

Unit cell a=3.8675 b=3.8675 c=26.0544 alpha=90.00 beta=90.00 gamma=90.00
Space group I4/mmm (No. 139)
Unique sites:
Sr 0.0000 0.0000 0.0000
Sr 0.0000 0.0000 0.1422
Mn 0.0000 0.0000 0.4265
Cu 0.0000 0.5000 0.2500
S 0.0000 0.0000 0.3029
O 0.0000 0.0000 0.5000
O 0.0000 0.5000 0.0812

No. 11
The following is a meta-GGA SCAN calculation of MnCuSe2O6 at its PBEsol-relaxed geometry, from Alexandria via LeMat-Bulk.

## Properties
Formation energy without anion corrections in eV/atom: -1.10
Theoretical density in g cm⁻³: 5.03

Unit cell a=5.3605 b=5.5899 c=9.4124 alpha=90.00 beta=119.24 gamma=90.00
Space group P2_1/c (No. 14)
Unique sites:
Mn 0.0000 0.0000 0.0000
Cu 0.5000 0.0000 0.5000
Se 0.2900 0.0437 0.7781
O 0.0083 0.1193 0.8113
O 0.2071 0.2174 0.6078
O 0.4228 0.7081 0.5689

No. 12
The following is a meta-GGA SCAN calculation of Sr4Mn2Cu3Se4O4 at its PBEsol-relaxed geometry, from Alexandria via LeMat-Bulk.

## Properties
Formation energy without anion corrections in eV/atom: -1.85
Theoretical density in g cm⁻³: 6.03

Unit cell a=5.6756 b=17.6377 c=5.6753 alpha=90.00 beta=90.00 gamma=90.00
Space group C222 (No. 21)
Unique sites:
Sr 0.2487 0.1541 0.2490
Mn 0.2500 0.2500 0.7503
Cu 0.0000 0.0000 0.0000
Cu 0.0000 0.0000 0.5000
Cu 0.0000 0.5000 0.0000
Se 0.2474 0.4195 0.7474
O 0.0000 0.2497 0.5000
O 0.0000 0.2515 0.0000